First-principles (PBE) data for a relaxed structure of KHgN2, as listed in the Alexandria database.

Geometry as POSCAR:
```
KHgN2
1.0
2.2766 -10.1665 0.0000
2.2766 10.1665 0.0000
-0.0358 0.0000 4.4487
K Hg N
2 2 4
Direct
0.0891 0.9109 0.7500
0.9109 0.0891 0.2500
0.0000 0.5000 0.0000
0.5000 0.0000 0.5000
0.3266 0.4193 0.7497
0.4193 0.3266 0.2497
0.5807 0.6734 0.7503
0.6734 0.5807 0.2503
```

For the density, the calculation gives 4.3 g cm⁻³. The size of the total moment is 1.3 μB per cell. As for the total energy: -37.0 eV for the cell shown. Its space group is C2/c.

---

First-principles (PBE) data for a relaxed structure of K2HgN, as listed in the Alexandria database.

Geometry as POSCAR:
```
K2HgN
1.0
0.0000 3.8068 3.8068
3.8068 0.0000 3.8068
3.8068 3.8068 0.0000
K Hg N
2 1 1
Direct
0.2500 0.2500 0.2500
0.7500 0.7500 0.7500
0.0000 0.0000 0.0000
0.5000 0.5000 0.5000
```

The energy above the lowest structure with this stoichiometry is 0.324 eV per atom. For the density, the calculation gives 4.4 g cm⁻³. The size of the total moment is 1.0 μB per cell. As for the total energy: -8.3 eV for the cell shown. Its space group is Fm-3m.

---

First-principles (PBE) data for a relaxed structure of KHgN2, as listed in the Alexandria database.

Geometry as POSCAR:
```
KHgN2
1.0
-3.3079 3.3079 3.5617
3.3079 -3.3079 3.5617
3.3079 3.3079 -3.5617
K Hg N
2 2 4
Direct
0.0000 0.0000 0.0000
0.7500 0.2500 0.5000
0.2500 0.7500 0.5000
0.5000 0.5000 0.0000
0.2075 0.6250 0.0825
0.3750 0.4575 0.5825
0.5425 0.1250 0.9175
0.8750 0.7925 0.4175
```

For the density, the calculation gives 5.7 g cm⁻³. The size of the total moment is 4.0 μB per cell. As for the total energy: -24.8 eV for the cell shown. Its space group is I-42d.

---

First-principles (PBE) data for a relaxed structure of KHg2N, as listed in the Alexandria database.

Geometry as POSCAR:
```
KHg2N
1.0
-3.6369 3.6369 5.1374
3.6369 -3.6369 5.1374
3.6369 3.6369 -5.1374
K Hg N
2 4 2
Direct
0.0000 0.0000 0.0000
0.7500 0.2500 0.5000
0.3673 0.1250 0.7423
0.3750 0.6327 0.7577
0.3827 0.6250 0.2577
0.8750 0.6173 0.2423
0.2500 0.7500 0.5000
0.5000 0.5000 0.0000
```

For the density, the calculation gives 5.6 g cm⁻³. The size of the total moment is 0.0 μB per cell. As for the total energy: -15.3 eV for the cell shown. Its space group is I-42d.

---

First-principles (PBE) data for a relaxed structure of K2HgN, as listed in the Alexandria database.

Geometry as POSCAR:
```
K2HgN
1.0
-5.8330 5.8330 2.1669
5.8330 -5.8330 2.1669
5.8330 5.8330 -2.1669
K Hg N
4 2 2
Direct
0.3750 0.1523 0.2773
0.8477 0.1250 0.2227
0.8750 0.0977 0.7227
0.9023 0.6250 0.7773
0.2500 0.7500 0.5000
0.5000 0.5000 0.0000
0.0000 0.0000 0.0000
0.7500 0.2500 0.5000
```

The energy above the lowest structure with this stoichiometry is 0.000 eV per atom. For the density, the calculation gives 3.3 g cm⁻³. The size of the total moment is 0.0 μB per cell. As for the total energy: -19.2 eV for the cell shown. Its space group is I-42d.

---

First-principles (PBE) data for a relaxed structure of KHgN3, as listed in the Alexandria database.

Geometry as POSCAR:
```
KHgN3
1.0
4.4706 0.0000 0.0000
0.0000 4.4706 0.0000
0.0000 0.0000 4.4706
K Hg N
1 1 3
Direct
0.0000 0.0000 0.0000
0.5000 0.5000 0.5000
0.0000 0.5000 0.5000
0.5000 0.0000 0.5000
0.5000 0.5000 0.0000
```

For the density, the calculation gives 5.2 g cm⁻³. The size of the total moment is 4.5 μB per cell. As for the total energy: -16.1 eV for the cell shown. Its space group is Pm-3m.

---

First-principles (PBE) data for a relaxed structure of KHg2N2, as listed in the Alexandria database.

Geometry as POSCAR:
```
KHg2N2
1.0
8.7296 0.0000 0.0000
0.0000 8.7296 0.0000
0.0000 0.0000 3.8766
K Hg N
2 4 4
Direct
0.0000 0.0000 0.0000
0.5000 0.5000 0.0000
0.1358 0.3642 0.0000
0.3642 0.8642 0.0000
0.6358 0.1358 0.0000
0.8642 0.6358 0.0000
0.1805 0.3195 0.5000
0.3195 0.8195 0.5000
0.6805 0.1805 0.5000
0.8195 0.6805 0.5000
```

The energy above the lowest structure with this stoichiometry is 0.135 eV per atom. For the density, the calculation gives 5.3 g cm⁻³. The size of the total moment is 2.0 μB per cell. As for the total energy: -25.8 eV for the cell shown. Its space group is P4/mbm.

---

First-principles (PBE) data for a relaxed structure of KHgN3, as listed in the Alexandria database.

Geometry as POSCAR:
```
KHgN3
1.0
5.1220 0.0000 0.0000
0.0000 5.1220 0.0000
0.0000 0.0000 5.1220
K Hg N
1 1 3
Direct
0.0000 0.0000 0.0000
0.5000 0.5000 0.5000
0.0000 0.0000 0.5000
0.0000 0.5000 0.0000
0.5000 0.0000 0.0000
```

For the density, the calculation gives 3.5 g cm⁻³. The size of the total moment is 8.0 μB per cell. As for the total energy: -12.9 eV for the cell shown. Its space group is Pm-3m.

---

First-principles (PBE) data for a relaxed structure of KHgN2, as listed in the Alexandria database.

Geometry as POSCAR:
```
KHgN2
1.0
1.9940 1.1512 7.4275
-1.9940 1.1512 7.4275
0.0000 -2.3024 7.4275
K Hg N
1 1 2
Direct
0.0000 0.0000 0.0000
0.5000 0.5000 0.5000
0.4097 0.4097 0.4097
0.5903 0.5903 0.5903
```

For the density, the calculation gives 4.3 g cm⁻³. The size of the total moment is 3.0 μB per cell. As for the total energy: -12.7 eV for the cell shown. Its space group is R-3m.

---

First-principles (PBE) data for a relaxed structure of K4Hg2N, as listed in the Alexandria database.

Geometry as POSCAR:
```
K4Hg2N
1.0
-2.7569 2.7569 9.0435
2.7569 -2.7569 9.0435
2.7569 2.7569 -9.0435
K Hg N
4 2 1
Direct
0.0000 0.5000 0.5000
0.1552 0.1552 0.0000
0.5000 0.0000 0.5000
0.8448 0.8448 0.0000
0.3577 0.3577 0.0000
0.6423 0.6423 0.0000
0.0000 0.0000 0.0000
```

For the density, the calculation gives 3.5 g cm⁻³. The size of the total moment is 1.4 μB per cell. As for the total energy: -12.1 eV for the cell shown. Its space group is I4/mmm.

---

First-principles (PBE) data for a relaxed structure of KHg2N2, as listed in the Alexandria database.

Geometry as POSCAR:
```
KHg2N2
1.0
-2.2554 2.2554 5.2705
2.2554 -2.2554 5.2705
2.2554 2.2554 -5.2705
K Hg N
1 2 2
Direct
0.0000 0.0000 0.0000
0.3037 0.3037 0.0000
0.6963 0.6963 0.0000
0.2500 0.7500 0.5000
0.7500 0.2500 0.5000
```

The energy above the lowest structure with this stoichiometry is 0.000 eV per atom. For the density, the calculation gives 7.3 g cm⁻³. The size of the total moment is 0.0 μB per cell. As for the total energy: -13.5 eV for the cell shown. Its space group is I4/mmm.

---

First-principles (PBE) data for a relaxed structure of KHgN2, as listed in the Alexandria database.

Geometry as POSCAR:
```
KHgN2
1.0
1.7846 1.0304 7.0887
-1.7846 1.0304 7.0887
0.0000 -2.0607 7.0887
K Hg N
1 1 2
Direct
0.0000 0.0000 0.0000
0.5000 0.5000 0.5000
0.1203 0.1203 0.1203
0.8797 0.8797 0.8797
```

For the density, the calculation gives 5.7 g cm⁻³. The size of the total moment is 1.0 μB per cell. As for the total energy: -11.9 eV for the cell shown. Its space group is R-3m.

---

Values of energy relative to the elements, uncorrected, in order: -0.1151; 0.6307; 1.4087; 0.5968; 0.3069; 2.0619; 1.0950; 2.6864; 1.3487; 0.1686; 0.9604; 1.5413, all in eV/atom.